(1)
Compound: BeHg2Cl
Source: Alexandria via LeMat-Bulk
Functional: PBE
Structure: optimized geometry

a b c (Å): 6.110 6.110 6.110
angles (deg): 151.36 118.03 69.66
Atoms (fractional coordinates):
Cl  0.345  0.845  0.500
Hg  0.991  0.991  0.000
Hg  0.686  0.186  0.500
Be  0.479  0.479  0.000

magnetization = 0.0 μB per formula unit
theoretical density = 7.8 g cm⁻³
final energy = -1.652 eV/atom
uncorrected formation energy = -0.430 eV per formula unit
symmetry = Imm2 (44)

---

(2)
Compound: Cs2H6Ru
Source: Alexandria via LeMat-Bulk
Functional: PBE
Structure: optimized geometry

a b c (Å): 6.393 6.393 6.697
angles (deg): 90.00 90.00 114.41
Atoms (fractional coordinates):
H  0.861  0.961  0.500
H  0.945  0.716  0.270
H  0.284  0.056  0.770
H  0.284  0.055  0.230
H  0.716  0.944  0.230
H  0.039  0.139  0.000
H  0.055  0.284  0.730
H  0.961  0.861  0.000
H  0.716  0.945  0.770
H  0.139  0.039  0.500
H  0.944  0.716  0.730
H  0.056  0.284  0.270
Cs  0.317  0.671  0.000
Cs  0.683  0.329  0.000
Cs  0.671  0.317  0.500
Cs  0.329  0.683  0.500
Ru  0.000  0.000  0.250
Ru  0.000  0.000  0.750

magnetization = 0.0 μB per formula unit
theoretical density = 5.0 g cm⁻³
final energy = -3.559 eV/atom
symmetry = Cccm (66)